Record 1
Er2Tl: relaxed, PBE.

Structure (POSCAR):
```
Er2Tl
1.0
5.349 0.000 0.000
-2.674 4.632 0.000
0.000 0.000 6.626
Er Tl
4 2
Cartesian
0.000 0.000 3.313
0.000 3.088 4.970
0.000 0.000 0.000
2.674 1.544 1.657
2.674 1.544 4.970
0.000 3.088 1.657
```



Record 2
CdGeTeO: relaxed, PBE.

Structure (POSCAR):
```
CdGeTeO
1.0
8.190 0.000 0.000
0.000 8.709 0.000
0.000 0.000 10.367
Te Cd Ge O
8 8 8 8
Cartesian
2.072 8.700 0.140
6.118 0.009 10.227
2.023 0.009 5.324
6.167 8.700 5.044
2.023 4.346 0.140
2.072 4.363 5.324
6.167 4.363 10.227
6.118 4.346 5.044
1.801 1.359 2.723
1.801 2.996 7.907
5.896 2.996 7.644
2.294 5.713 2.723
5.896 1.359 2.460
6.389 5.713 2.460
2.294 7.350 7.907
6.389 7.350 7.644
4.025 2.208 4.954
4.165 6.563 0.230
8.120 2.147 5.413
0.070 6.563 4.954
4.025 2.147 10.138
0.070 6.501 10.138
8.120 2.208 0.230
4.165 6.501 5.413
7.990 2.092 2.082
4.296 6.446 2.082
4.296 6.617 7.266
0.201 6.446 3.101
0.201 6.617 8.285
7.990 2.263 7.266
3.895 2.092 3.101
3.895 2.263 8.285
```



Record 3
Nd5Tl4Ag: relaxed, PBE.

Structure (POSCAR):
```
Nd5Tl4Ag
1.0
-1.607 -1.175 -3.144
-0.525 -3.354 1.522
-18.670 6.202 7.225
Tl Nd Ag
4 5 1
Cartesian
-7.416 2.464 2.870
-15.096 5.015 5.842
-3.574 1.187 1.383
-11.253 3.739 4.355
-2.774 -1.697 -0.150
-10.401 0.837 2.802
-18.028 3.370 5.753
-6.580 -0.433 1.323
-14.222 2.106 4.281
0.000 0.000 0.000
```



Record 4
LiNiGeAu: relaxed, PBE.

Structure (POSCAR):
```
LiNiGeAu
1.0
0.000 3.046 3.046
3.046 0.000 3.046
3.046 3.046 0.000
Li Au Ge Ni
1 1 1 1
Cartesian
1.523 1.523 1.523
3.046 3.046 3.046
0.000 0.000 0.000
4.570 4.570 4.570
```



Record 5
CdPd2O4: relaxed, PBE.

Structure (POSCAR):
```
CdPd2O4
1.0
4.500 -4.501 0.000
-4.500 0.000 -4.501
4.500 4.501 0.000
O Pd Cd
8 4 2
Cartesian
1.279 1.280 -1.280
-0.971 0.971 -3.530
3.529 -0.971 -0.971
0.971 -0.971 -3.530
3.221 1.280 -3.221
1.279 3.221 -3.221
5.472 0.971 -0.971
3.221 3.221 -1.280
5.625 -1.125 -1.125
1.125 1.125 -3.375
3.375 1.125 -1.125
-1.125 -1.125 -3.375
2.250 -2.250 -2.250
0.000 0.000 0.000
```



Record 6
HoTmPO: relaxed, PBE.

Structure (POSCAR):
```
HoTmPO
1.0
4.100 0.000 0.000
0.000 7.495 0.000
0.000 0.000 5.520
Ho P Tm O
2 2 2 2
Cartesian
2.050 0.947 2.678
2.050 6.548 5.438
0.000 2.595 2.406
0.000 4.900 5.166
0.000 2.192 5.185
0.000 5.303 2.424
2.050 1.291 4.934
2.050 6.204 2.174
```



Record 7
Fe2CuPd: relaxed, PBE.

Structure (POSCAR):
```
Fe2CuPd
1.0
-4.024 -0.135 1.081
-2.600 3.002 -1.266
-2.904 -0.832 -2.873
Cu Fe Pd
1 2 1
Cartesian
-2.382 0.509 -0.764
0.000 0.000 0.000
-7.146 1.526 -2.293
-4.764 1.018 -1.529
```

Summary:
As for the formation energy: 0.07 eV per atom.



Record 8
NaFe2Cl8: relaxed, PBE.

Structure (POSCAR):
```
NaFe2Cl8
1.0
6.523 -4.356 0.000
6.523 4.356 0.000
-1.658 0.000 6.088
Na Fe Cl
1 2 8
Cartesian
0.000 0.000 0.000
1.392 0.000 4.234
9.995 0.000 1.854
1.870 0.000 2.118
6.678 -2.653 4.744
4.709 2.653 1.344
6.678 2.653 4.744
8.132 0.000 0.806
3.255 0.000 5.282
4.709 -2.653 1.344
9.516 0.000 3.969
```



Record 9
Li2SmNiP2: relaxed, PBE.

Structure (POSCAR):
```
Li2SmNiP2
1.0
-0.441 1.230 -3.792
-3.204 -0.308 2.393
0.820 6.100 1.883
Li P Sm Ni
2 2 1 1
Cartesian
-1.992 2.367 0.999
-0.833 4.654 -0.515
-1.686 4.641 1.701
-1.138 2.380 -1.217
0.000 0.000 0.000
0.410 3.050 0.941
```



Record 10
BaNi2AsP: relaxed, PBE.

Structure (POSCAR):
```
BaNi2AsP
1.0
-2.024 2.024 5.939
2.024 -2.024 5.939
2.024 2.024 -5.939
P Ni Ba As
1 2 1 1
Cartesian
0.000 0.000 4.027
0.000 2.024 3.036
2.024 0.000 3.036
0.000 0.000 11.842
0.000 0.000 7.752
```



Record 11
CuHgSbAu: relaxed, PBE.

Structure (POSCAR):
```
CuHgSbAu
1.0
0.000 3.429 3.429
3.429 0.000 3.429
3.429 3.429 0.000
Hg Cu Au Sb
1 1 1 1
Cartesian
3.429 3.429 3.429
5.144 5.144 5.144
1.715 1.715 1.715
0.000 0.000 0.000
```



Record 12
Li2TaNbAl2Ir2: relaxed, PBE.

Structure (POSCAR):
```
Li2TaNbAl2Ir2
1.0
-3.402 2.486 1.090
-1.614 -3.257 2.393
3.086 2.074 4.905
Li Nb Ir Al Ta
2 1 2 2 1
Cartesian
1.508 -0.073 4.876
-0.930 1.761 1.770
0.000 0.000 0.000
-0.031 -1.107 2.429
0.609 2.795 4.217
-2.508 -0.386 1.741
1.543 1.037 2.452
-0.965 0.651 4.193
```



no.,E (eV/atom),theoretical density (g cm⁻³)
1,-4.079,10.90
2,-3.893,5.90
3,-3.976,9.42
4,-4.098,9.85
5,-4.921,7.09
6,-6.872,7.46
7,-6.309,9.13
8,-3.828,2.01
9,-4.881,5.28
10,-5.345,6.15
11,-2.606,12.00
12,-7.042,10.34